Crystalline Al2SiCl at its relaxed geometry. Source: Alexandria via LeMat-Bulk, functional PBE.

Lattice parameters (Å, degrees): 6.3014 6.3014 6.3014 153.20 138.82 49.82
Atoms (fractional coordinates):
Al (0.0000, 0.0000, 0.0000)
Al (0.7837, 0.2837, 0.5000)
Si (0.5874, 0.5874, 0.0000)
Cl (0.3021, 0.8021, 0.5000)

Calculated values
The value obtained for the offset from the most stable computed form is 0.30 eV per formula unit. The value obtained for the electronic total energy is -14.6 eV/cell. Its total magnetization is 0.000 μB per atom. The calculated density is 2.6 Mg/m³. The value obtained for the uncorrected formation energy is 14 kJ/mol of formula units.